*1*
# SrTeRhI2 | the Alexandria database | PBE-GGA | relaxed
# Size of the total moment (μB per cell): 0.0
data_SrTeRhI2
_space_group_name_H-M_alt 'P 4/m m m'
_space_group_IT_number 123
_space_group_name_Hall '-P 4 2'
_cell_length_a 5.4147
_cell_length_b 5.4147
_cell_length_c 5.4870
_cell_angle_alpha 90.00
_cell_angle_beta 90.00
_cell_angle_gamma 90.00
loop_
_atom_site_label
_atom_site_type_symbol
_atom_site_fract_x
_atom_site_fract_y
_atom_site_fract_z
Sr1 Sr 0.0000 0.0000 0.0000
Te1 Te 0.5000 0.5000 0.0000
Rh1 Rh 0.5000 0.5000 0.5000
I1 I 0.0000 0.5000 0.5000



*2*
# SrTeRhI2 | the Alexandria database | PBE-GGA | relaxed
# Size of the total moment (μB per cell): 3.0
data_SrTeRhI2
_space_group_name_H-M_alt 'P 4/m m m'
_space_group_IT_number 123
_space_group_name_Hall '-P 4 2'
_cell_length_a 6.2642
_cell_length_b 6.2642
_cell_length_c 6.4317
_cell_angle_alpha 90.00
_cell_angle_beta 90.00
_cell_angle_gamma 90.00
loop_
_atom_site_label
_atom_site_type_symbol
_atom_site_fract_x
_atom_site_fract_y
_atom_site_fract_z
Sr1 Sr 0.0000 0.0000 0.0000
Te1 Te 0.0000 0.0000 0.5000
Rh1 Rh 0.5000 0.5000 0.5000
I1 I 0.0000 0.5000 0.0000



The winner here is *1*, beating the second structure by 0.966 eV/atom.